DFT (PBE) results for a geometry-optimized SiPbAu2 structure.

Summary:
- Calculated volume: 21.49 Å³ per atom
- DOS at the Fermi energy: 1.84 states/eV/f.u.
- Distance to the lowest polymorph of the same formula: 142 meV/atom

Structure (POSCAR):
```
SiPbAu2
1.0
3.576 0.000 0.000
0.000 3.576 0.000
0.000 0.000 6.722
Au Pb Si
2 1 1
Direct
0.000 0.000 0.955 Au
0.500 0.500 0.219 Au
0.000 0.000 0.487 Pb
0.500 0.500 0.839 Si
```



DFT (PBE) results for a geometry-optimized SiPbAu2 structure.

Summary:
- Calculated volume: 20.63 Å³ per atom
- DOS at the Fermi energy: 1.27 states/eV/f.u.
- Distance to the lowest polymorph of the same formula: 129 meV/atom

Structure (POSCAR):
```
SiPbAu2
1.0
-1.302 -1.919 -2.310
2.843 -1.599 -0.274
-2.276 -4.976 5.419
Au Pb Si
2 1 1
Direct
0.000 0.000 0.945 Au
0.000 0.000 0.555 Au
0.500 0.500 0.250 Pb
0.500 0.500 0.750 Si
```



DFT (PBE) results for a geometry-optimized Si2Pb2Au structure.

Summary:
- Calculated volume: 23.22 Å³ per atom
- DOS at the Fermi energy: 1.78 states/eV/f.u.
- Distance to the lowest polymorph of the same formula: 0 meV/atom

Structure (POSCAR):
```
Si2Pb2Au
1.0
6.389 0.000 0.000
0.000 6.389 0.000
0.000 0.000 5.687
Pb Si Au
4 4 2
Direct
0.186 0.686 0.500 Pb
0.686 0.814 0.500 Pb
0.814 0.314 0.500 Pb
0.314 0.186 0.500 Pb
0.369 0.869 0.000 Si
0.869 0.631 0.000 Si
0.631 0.131 0.000 Si
0.131 0.369 0.000 Si
0.000 0.000 0.000 Au
0.500 0.500 0.000 Au
```



DFT (PBE) results for a geometry-optimized SiPbAu2 structure.

Summary:
- Calculated volume: 20.93 Å³ per atom
- DOS at the Fermi energy: 5.31 states/eV/f.u.
- Distance to the lowest polymorph of the same formula: 383 meV/atom

Structure (POSCAR):
```
SiPbAu2
1.0
4.911 0.000 0.000
2.455 4.253 0.000
2.455 1.418 4.010
Au Pb Si
2 1 1
Direct
0.000 0.000 0.000 Au
0.750 0.750 0.750 Au
0.500 0.500 0.500 Pb
0.250 0.250 0.250 Si
```



DFT (PBE) results for a geometry-optimized SiPbAu2 structure.

Summary:
- Calculated volume: 23.52 Å³ per atom
- DOS at the Fermi energy: 1.64 states/eV/f.u.
- Distance to the lowest polymorph of the same formula: 36 meV/atom

Structure (POSCAR):
```
SiPbAu2
1.0
-0.982 4.509 -0.219
-2.317 -0.294 4.342
3.534 0.865 1.955
Au Pb Si
2 1 1
Direct
0.000 0.955 0.995 Au
0.500 0.296 0.011 Au
0.000 0.466 0.500 Pb
0.500 0.783 0.994 Si
```



DFT (PBE) results for a geometry-optimized SiPbAu2 structure.

Summary:
- Calculated volume: 22.37 Å³ per atom
- DOS at the Fermi energy: 1.16 states/eV/f.u.
- Distance to the lowest polymorph of the same formula: 57 meV/atom

Structure (POSCAR):
```
SiPbAu2
1.0
4.591 0.051 0.077
3.184 3.309 0.077
1.623 0.701 5.986
Au Pb Si
2 1 1
Direct
0.968 0.968 0.107 Au
0.743 0.743 0.797 Au
0.520 0.520 0.511 Pb
0.268 0.268 0.085 Si
```



DFT (PBE) results for a geometry-optimized SiPbAu2 structure.

Summary:
- Calculated volume: 22.37 Å³ per atom
- DOS at the Fermi energy: 0.71 states/eV/f.u.
- Distance to the lowest polymorph of the same formula: 69 meV/atom

Structure (POSCAR):
```
SiPbAu2
1.0
-5.322 3.417 3.839
-5.400 -0.210 5.054
-2.813 2.227 6.471
Au Pb Si
2 1 1
Direct
0.011 0.011 0.011 Au
0.260 0.260 0.260 Au
0.501 0.501 0.501 Pb
0.729 0.729 0.729 Si
```



DFT (PBE) results for a geometry-optimized SiPbAu2 structure.

Summary:
- Calculated volume: 22.04 Å³ per atom
- DOS at the Fermi energy: 1.29 states/eV/f.u.
- Distance to the lowest polymorph of the same formula: 194 meV/atom

Structure (POSCAR):
```
SiPbAu2
1.0
-2.734 -4.428 1.663
-0.942 -2.750 -4.625
4.075 1.735 3.198
Au Pb Si
2 1 1
Direct
0.044 0.044 0.000 Au
0.456 0.456 0.000 Au
0.750 0.250 0.500 Pb
0.250 0.750 0.500 Si
```



DFT (PBE) results for a geometry-optimized SiPbAu2 structure.

Summary:
- Calculated volume: 21.03 Å³ per atom
- DOS at the Fermi energy: 1.22 states/eV/f.u.
- Distance to the lowest polymorph of the same formula: 266 meV/atom

Structure (POSCAR):
```
SiPbAu2
1.0
-2.293 -4.228 -1.028
-3.937 -0.008 -2.947
0.310 -1.931 -4.512
Pb Si Au
1 1 2
Direct
0.500 0.500 0.500 Pb
0.000 0.000 0.000 Si
0.250 0.250 0.250 Au
0.750 0.750 0.750 Au
```



DFT (PBE) results for a geometry-optimized SiPbAu4 structure.

Summary:
- Calculated volume: 21.81 Å³ per atom
- DOS at the Fermi energy: 2.46 states/eV/f.u.
- Distance to the lowest polymorph of the same formula: 0 meV/atom

Structure (POSCAR):
```
SiPbAu4
1.0
4.249 0.000 -1.124
0.000 6.456 0.000
0.235 0.000 9.480
Si Pb Au
2 2 8
Direct
0.101 0.750 0.201 Si
0.899 0.250 0.799 Si
0.399 0.750 0.798 Pb
0.601 0.250 0.202 Pb
0.198 0.468 0.395 Au
0.802 0.532 0.605 Au
0.198 0.032 0.395 Au
0.802 0.968 0.605 Au
0.663 0.750 0.327 Au
0.337 0.250 0.673 Au
0.000 0.500 0.000 Au
0.000 0.000 0.000 Au
```



DFT (PBE) results for a geometry-optimized SiPbAu2 structure.

Summary:
- Calculated volume: 22.04 Å³ per atom
- DOS at the Fermi energy: 1.55 states/eV/f.u.
- Distance to the lowest polymorph of the same formula: 58 meV/atom

Structure (POSCAR):
```
SiPbAu2
1.0
3.691 0.000 0.000
1.846 3.197 0.000
1.846 1.066 7.471
Si Pb Au
1 1 2
Direct
0.667 0.667 0.998 Si
0.499 0.499 0.502 Pb
0.064 0.064 0.808 Au
0.269 0.269 0.192 Au
```



DFT (PBE) results for a geometry-optimized SiPbAu4 structure.

Summary:
- Calculated volume: 20.89 Å³ per atom
- DOS at the Fermi energy: 1.31 states/eV/f.u.
- Distance to the lowest polymorph of the same formula: 19 meV/atom

Structure (POSCAR):
```
SiPbAu4
1.0
7.452 0.000 0.000
0.000 4.982 0.646
-3.726 -1.177 6.601
Si Pb Au
2 2 8
Direct
0.500 0.000 0.500 Si
0.000 0.500 0.500 Si
0.791 0.750 0.000 Pb
0.209 0.250 0.000 Pb
0.495 0.211 0.794 Au
0.701 0.289 0.206 Au
0.505 0.789 0.206 Au
0.299 0.711 0.794 Au
0.887 0.928 0.603 Au
0.284 0.572 0.397 Au
0.113 0.072 0.397 Au
0.716 0.428 0.603 Au
```